Here is a geometry-optimized Ba4Pu3IO12 structure from the Alexandria database. Energies are from PBE.

```
Ba4Pu3IO12
1.0
7.8742 0.0000 0.0000
-2.6247 7.4238 0.0000
-2.6247 -3.7119 6.4292
O Ba I Pu
12 4 1 3
Cartesian
1.5524 2.1954 0.0000
1.5524 -1.0977 1.9013
3.9371 0.0000 3.2146
-1.3124 0.9280 4.8219
3.6970 5.2284 0.0000
-1.3124 3.7119 3.2146
-3.6970 2.6142 4.5279
3.9371 2.7839 1.6073
1.3124 4.6399 1.6073
1.3124 -0.9280 4.8219
-1.5524 1.0977 1.9013
3.6970 -2.6142 4.5279
-1.3124 -1.8560 3.2146
1.3124 1.8560 3.2146
-1.3124 3.7119 0.0000
3.9371 0.0000 0.0000
0.0000 0.0000 0.0000
-2.6247 1.8560 3.2146
2.6247 -1.8560 3.2146
2.6247 3.7119 0.0000
```

M_tot: 6.90 Bohr magnetons per cell
Fermi-level density of states: 7.7 states/eV/f.u.
total energy: -161.98 eV per cell
formation energy from raw total energies: -2.51 eV/atom